Entry from the Alexandria database: RbBa2CdCu after structural relaxation (GGA-PBE).

Computed properties:
Final energy ... -9.52 eV/cell
E_form ... 0.061 eV per atom
Crystal system ... tetragonal
Density of states at the Fermi level ... 4.90 states/eV per cell
Total moment ... 0.8 μB/cell

CIF file:
```
data_RbBa2CdCu
_chemical_formula_sum 'Rb1 Ba2 Cd1 Cu1'
_space_group_name_H-M_alt 'P 4/m m m'
_space_group_IT_number 123
_space_group_name_Hall '-P 4 2'
_cell_length_a 6.430
_cell_length_b 6.430
_cell_length_c 5.330
_cell_angle_alpha 90.00
_cell_angle_beta 90.00
_cell_angle_gamma 90.00
loop_
_atom_site_label
_atom_site_type_symbol
_atom_site_fract_x
_atom_site_fract_y
_atom_site_fract_z
Rb1 Rb 0.000 0.000 0.000
Ba1 Ba 0.000 0.500 0.500
Cd1 Cd 0.500 0.500 0.000
Cu1 Cu 0.500 0.500 0.500
```